(1)
The following is a DFT calculation (GGA-PBE) of crystalline RbPbICl6 at its relaxed geometry.

Cell lengths 8.4467, 7.7085, 5.7879 Å; angles 77.12, 73.65, 65.14 degrees
With the nearest neighbours (Å) after each atom.
Element x y z (fractional)
Cl 0.0988 0.3621 0.3194  1 I 2.58
Cl 0.8208 0.6283 0.8734  1 Pb 2.67
Cl 0.3769 0.9932 0.7195  1 I 2.59
Cl 0.5525 0.3419 0.7563  1 I 2.52
Cl 0.8104 0.9832 0.2848  1 Pb 2.64
Cl 0.3100 0.6743 0.3388  1 I 2.49
Rb 0.9794 0.9862 0.7172  6 Cl 3.19-3.48
I 0.3367 0.3437 0.5313  4 Cl 2.49-2.59
Pb 0.7144 0.6871 0.4592  2 Cl 2.64-2.67

Calculated values
Energy relative to the elements, uncorrected (eV/atom): -0.91
Symmetry: P1 (1)

---

(2)
The following is a DFT calculation (GGA-PBE) of crystalline Ac2Sm4Er3 at its relaxed geometry.

Cell lengths 6.9709, 6.9709, 8.8084 Å; angles 99.29, 99.29, 126.31 degrees
With the nearest neighbours (Å) after each atom.
Element x y z (fractional)
Er 0.0000 0.5000 0.0000  4 Er 3.15-3.49
Er 0.0000 0.0000 0.0000  4 Er 3.49, 4 Sm 3.57, 4 Ac 3.69
Er 0.5000 0.0000 0.0000  4 Er 3.15-3.49
Sm 0.3333 0.0388 0.3721  2 Sm 3.31-3.66, 3 Er 3.57-3.67
Sm 0.6667 0.9612 0.6279  2 Sm 3.31-3.66, 3 Er 3.57-3.67
Sm 0.0388 0.3333 0.3721  2 Sm 3.31-3.66, 3 Er 3.57-3.67
Sm 0.9612 0.6667 0.6279  2 Sm 3.31-3.66, 3 Er 3.57-3.67
Ac 0.6169 0.6169 0.2339  6 Er 3.69-3.98, 6 Sm 3.72-3.82, 1 Ac 3.85
Ac 0.3831 0.3831 0.7661  6 Er 3.69-3.98, 6 Sm 3.72-3.82, 1 Ac 3.85

Calculated values
Symmetry: Fmmm (69)
Total DFT energy (no corrections) (eV per atom): -4.360

---

(3)
The following is a DFT calculation (GGA-PBE) of crystalline Hf2Ga3Pd8 at its relaxed geometry.

Cell lengths 5.2643, 5.2643, 9.9630 Å; angles 74.68, 74.68, 60.00 degrees
With the nearest neighbours (Å) after each atom.
Element x y z (fractional)
Ga 0.8084 0.8084 0.5747  10 Pd 2.50-2.73
Ga 0.0000 0.0000 0.0000  6 Hf 3.22, 6 Pd 3.41
Ga 0.1916 0.1916 0.4253  10 Pd 2.50-2.73
Pd 0.7172 0.2179 0.3477  4 Pd 2.63-2.64, 3 Ga 2.64-2.73, 1 Hf 2.70
Pd 0.2828 0.2828 0.6523  4 Pd 2.63-2.64, 3 Ga 2.64-2.73, 1 Hf 2.70
Pd 0.7821 0.2828 0.6523  4 Pd 2.63-2.64, 3 Ga 2.64-2.73, 1 Hf 2.70
Pd 0.7206 0.7206 0.8382  1 Ga 2.50, 1 Hf 2.60
Pd 0.2794 0.2794 0.1618  1 Ga 2.50, 1 Hf 2.60
Pd 0.7172 0.7172 0.3477  4 Pd 2.63-2.64, 3 Ga 2.64-2.73, 1 Hf 2.70
Pd 0.2828 0.7821 0.6523  4 Pd 2.63-2.64, 3 Ga 2.64-2.73, 1 Hf 2.70
Pd 0.2179 0.7172 0.3477  4 Pd 2.63-2.64, 3 Ga 2.64-2.73, 1 Hf 2.70
Hf 0.6294 0.6294 0.1118  4 Pd 2.60-2.70
Hf 0.3706 0.3706 0.8882  4 Pd 2.60-2.70

Calculated values
Symmetry: R-3m (166)
Total DFT energy (no corrections) (eV per atom): -5.785

---

(4)
The following is a DFT calculation (GGA-PBE) of crystalline BaTa2Al at its relaxed geometry.

Cell lengths 2.9917, 2.9917, 10.0326 Å; angles 90.00, 90.00, 90.04 degrees
With the nearest neighbours (Å) after each atom.
Element x y z (fractional)
Ba 0.5000 0.5000 0.7500  4 Ba 2.99
Ta 0.0000 0.0000 0.0643  4 Al 2.82, 4 Ta 2.99
Ta 0.0000 0.0000 0.4357  4 Al 2.82, 4 Ta 2.99
Al 0.5000 0.5000 0.2500  8 Ta 2.82, 4 Al 2.99

Calculated values
Symmetry: P4/mmm (123)
Total DFT energy (no corrections) (eV per atom): -6.792

---

(5)
The following is a DFT calculation (GGA-PBE) of crystalline AlZnCd2Re at its relaxed geometry.

Cell lengths 4.9281, 4.7131, 4.9281 Å; angles 90.00, 90.00, 90.00 degrees
With the nearest neighbours (Å) after each atom.
Element x y z (fractional)
Cd 0.0000 0.0000 0.5000  2 Al 2.46
Cd 0.5000 0.0000 0.0000  2 Al 2.46
Re 0.0000 0.5000 0.0000  2 Al 2.36
Al 0.0000 0.0000 0.0000  2 Re 2.36, 4 Cd 2.46
Zn 0.5000 0.5000 0.5000  8 Cd 3.41, 4 Re 3.48

Calculated values
Symmetry: P4/mmm (123)
Total DFT energy (no corrections) (eV per atom): -2.681

---

(6)
The following is a DFT calculation (GGA-PBE) of crystalline TbZrCd2 at its relaxed geometry.

Cell lengths 3.2673, 3.2673, 10.7902 Å; angles 81.29, 81.29, 60.00 degrees
With the nearest neighbours (Å) after each atom.
Element x y z (fractional)
Cd 0.2531 0.2531 0.2406  3 Zr 3.18, 6 Cd 3.27, 3 Tb 3.34
Cd 0.7469 0.7469 0.7594  3 Zr 3.18, 6 Cd 3.27, 3 Tb 3.34
Zr 0.0000 0.0000 0.0000  6 Cd 3.18, 6 Zr 3.27
Tb 0.5000 0.5000 0.5000  6 Tb 3.27, 6 Cd 3.34

Calculated values
Symmetry: R-3m (166)
Total DFT energy (no corrections) (eV per atom): -3.759

---

(7)
The following is a DFT calculation (GGA-PBE) of crystalline CsKTc2O8 at its relaxed geometry.

Cell lengths 6.3527, 6.3874, 8.0599 Å; angles 65.41, 66.79, 60.18 degrees
With the nearest neighbours (Å) after each atom.
Element x y z (fractional)
O 0.6486 0.6487 0.0541  1 Tc 1.74
O 0.5464 0.0837 0.2717  1 Tc 1.74
O 0.0996 0.5303 0.2706  1 Tc 1.74
O 0.9004 0.4697 0.7294  1 Tc 1.74
O 0.4536 0.9163 0.7283  1 Tc 1.74
O 0.9017 0.9163 0.7283  1 Tc 1.74
O 0.0983 0.0837 0.2717  1 Tc 1.74
O 0.3514 0.3513 0.9459  1 Tc 1.74
Tc 0.2734 0.2624 0.1908  4 O 1.74
Tc 0.7266 0.7376 0.8092  4 O 1.74
K 0.0000 0.0000 0.0000  6 O 2.80-2.81
Cs 0.5000 0.5000 0.5000  6 O 3.18-3.51

Calculated values
Energy relative to the elements, uncorrected (eV/atom): -1.69
Symmetry: C2/m (12)

---

(8)
The following is a DFT calculation (GGA-PBE) of crystalline Ru3Cl at its relaxed geometry.

Cell lengths 6.1154, 6.1154, 7.4424 Å; angles 90.00, 90.00, 120.00 degrees
With the nearest neighbours (Å) after each atom.
Element x y z (fractional)
Cl 0.6667 0.3333 0.7500  6 Ru 2.56
Cl 0.0000 0.0000 0.5000  6 Ru 2.51
Cl 0.0000 0.0000 0.0000  6 Ru 2.51
Cl 0.3333 0.6667 0.2500  6 Ru 2.56
Ru 0.5000 0.5000 0.0000  2 Cl 2.56, 4 Ru 2.59
Ru 0.6821 0.8410 0.7500  2 Cl 2.51, 4 Ru 2.59
Ru 0.0000 0.5000 0.0000  2 Cl 2.56, 4 Ru 2.59
Ru 0.5000 0.5000 0.5000  2 Cl 2.56, 4 Ru 2.59
Ru 0.8410 0.1590 0.2500  2 Cl 2.51, 4 Ru 2.59
Ru 0.8410 0.6821 0.2500  2 Cl 2.51, 4 Ru 2.59
Ru 0.3179 0.1590 0.2500  2 Cl 2.51, 4 Ru 2.59
Ru 0.0000 0.5000 0.5000  2 Cl 2.56, 4 Ru 2.59
Ru 0.1590 0.3179 0.7500  2 Cl 2.51, 4 Ru 2.59
Ru 0.5000 0.0000 0.0000  2 Cl 2.56, 4 Ru 2.59
Ru 0.5000 0.0000 0.5000  2 Cl 2.56, 4 Ru 2.59
Ru 0.1590 0.8410 0.7500  2 Cl 2.51, 4 Ru 2.59

Calculated values
Energy relative to the lowest polymorph listed for this composition (meV per atom): 654
Energy relative to the elements, uncorrected (eV/atom): 1.08
Symmetry: P6_3/mmc (194)

---

Spin magnetization readings, ordered: 0.00 0.00 0.00 0.00 1.53 0.00 0.00 0.00 μB per formula unit